# SmB2WO8

A relaxed structure of SmB2WO8 (GGA+U, Alexandria via LeMat-Bulk).

It has space group P-3m1 (No. 164), with a = 4.9547 Å, b = 4.9547 Å, c = 6.5626 Å, α = 90.00°, β = 90.00° and γ = 120.00°. The distinct sites, in fractional coordinates, are Sm at (0.0000, 0.0000, 0.0000), B at (0.3333, 0.6667, 0.2385), W at (0.0000, 0.0000, 0.5000), O at (0.1726, 0.3453, 0.3137) and O at (0.3333, 0.6667, 0.0172).

For the total DFT energy (no corrections), the calculation gives -91.777 eV per formula unit.